Here is CaLa2W after structural relaxation from the Alexandria database. Energies are from PBE-GGA.

abc: 7.1115 7.1115 7.1115
angles: 102.58 102.58 124.35
Sites, in units of the cell vectors:
Ca  0.0000  0.0000  0.0000
Ca  0.7500  0.2500  0.5000
La  0.2118  0.6250  0.0868
La  0.3750  0.4618  0.5868
La  0.5382  0.1250  0.9132
La  0.8750  0.7882  0.4132
W  0.2500  0.7500  0.5000
W  0.5000  0.5000  0.0000

Calculated total energy = -43.53 eV for the cell shown
ΔH_f (0 K) = 0.76 eV/atom
ΔE to the lowest computed polymorph = 338 meV/atom